# SCAN Ca2TcBr, PBEsol geometry
# Mass density   4.4 g cm⁻³
# D(E_F)   6.7 states/eV/cell
# Raw formation energy   177 meV per atom
# Magnetic moment   2.133 μB per formula unit
# DFT total energy   -18.28 eV/atom
data_Ca2TcBr
_chemical_formula_sum 'Ca4 Tc2 Br2'
_space_group_name_H-M_alt 'I -4 m 2'
_space_group_IT_number 119
_space_group_name_Hall 'I -4 -2'
_cell_length_a 4.161
_cell_length_b 4.161
_cell_length_c 11.188
_cell_angle_alpha 90.00
_cell_angle_beta 90.00
_cell_angle_gamma 90.00
loop_
_atom_site_label
_atom_site_type_symbol
_atom_site_fract_x
_atom_site_fract_y
_atom_site_fract_z
Ca1 Ca 0.000 0.000 0.000
Ca2 Ca 0.000 0.500 0.250
Tc1 Tc 0.000 0.000 0.500
Br1 Br 0.000 0.500 0.750


# SCAN LaY2Mg, PBEsol geometry
# Mass density   4.8 g cm⁻³
# D(E_F)   8.9 states/eV/cell
# Magnetic moment   0.113 μB per formula unit
# E_form   0.0475 eV per atom
# DFT total energy   -25.89 eV/atom
data_LaY2Mg
_chemical_formula_sum 'La2 Y4 Mg2'
_space_group_name_H-M_alt 'C m m m'
_space_group_IT_number 65
_space_group_name_Hall '-C 2 2'
_cell_length_a 7.066
_cell_length_b 9.385
_cell_length_c 3.566
_cell_angle_alpha 90.00
_cell_angle_beta 90.00
_cell_angle_gamma 90.00
loop_
_atom_site_label
_atom_site_type_symbol
_atom_site_fract_x
_atom_site_fract_y
_atom_site_fract_z
La1 La 0.000 0.000 0.000
Y1 Y 0.250 0.250 0.500
Mg1 Mg 0.000 0.500 0.000